Material: Sr3LaSe
Method: DFT, meta-GGA SCAN
State: single point on PBEsol structure

Cell: 5.9100 5.9100 5.9100 Å, 90.00 90.00 90.00°
Fractional coordinates of all 5 atoms:
Sr (0.0000, 0.0000, 0.5000)
Sr (0.0000, 0.5000, 0.0000)
Sr (0.5000, 0.0000, 0.0000)
La (0.0000, 0.0000, 0.0000)
Se (0.5000, 0.5000, 0.5000)

**VASP energy**: -25.35 eV/atom
**Calculated volume**: 206.4 Å³/f.u.
**Spin magnetization**: 1.217 Bohr magnetons per cell

Material: Sr2LaSe
Method: DFT, meta-GGA SCAN
State: single point on PBEsol structure

Cell: 3.7720 3.7720 10.2282 Å, 90.00 90.00 90.00°
Fractional coordinates of all 4 atoms:
Sr (0.0000, 0.0000, 0.0000)
Sr (0.5000, 0.5000, 0.3304)
La (0.0000, 0.0000, 0.6510)
Se (0.5000, 0.5000, 0.8105)

**VASP energy**: -27.81 eV/atom
**Calculated volume**: 145.5 Å³/f.u.
**Spin magnetization**: 0.760 Bohr magnetons per cell